# 1
VASP calculation (GGA-PBE) on an optimized crystal structure of IrN.

```
8
Lattice="6.200 0.000 0.000 0.000 6.200 0.000 0.000 0.000 2.756" Properties=species:S:1:pos:R:3 pbc="T T T"
Ir 2.171 2.171 0.000
Ir 5.271 0.929 1.378
Ir 0.929 5.271 1.378
Ir 4.029 4.029 0.000
N 1.970 4.230 0.000
N 5.070 5.070 1.378
N 1.130 1.130 1.378
N 4.230 1.970 0.000
```

The formation energy without anion corrections is 0.8521 eV per atom. For the total energy, the calculation gives -61.9 eV for the cell shown.

# 2
VASP calculation (GGA-PBE) on an optimized crystal structure of IrN2.

```
3
Lattice="-0.708 0.509 2.960 -2.226 -0.693 -2.022 0.468 -3.673 0.743" Properties=species:S:1:pos:R:3 pbc="T T T"
Ir -0.980 -1.728 1.671
N 0.390 -3.059 0.619
N 0.078 -0.614 0.124
```

The formation energy without anion corrections is 1.0301 eV per atom. For the total energy, the calculation gives -22.4 eV for the cell shown.

# 3
VASP calculation (GGA-PBE) on an optimized crystal structure of IrN.

```
16
Lattice="-6.091 -0.313 1.826 1.822 -2.141 5.713 0.333 5.988 2.137" Properties=species:S:1:pos:R:3 pbc="T T T"
Ir -1.354 1.216 3.328
Ir -0.681 2.416 5.778
Ir -3.150 2.987 4.565
Ir -2.686 0.450 5.680
Ir -3.322 2.983 8.166
Ir -4.805 0.336 2.766
Ir 0.640 -0.921 5.440
Ir -0.385 4.671 2.980
N -0.681 0.612 1.674
N 0.729 3.128 6.808
N -4.447 4.323 4.266
N -3.473 -0.993 6.604
N -2.649 2.379 6.512
N -3.395 1.048 3.796
N -0.657 0.415 5.141
N -1.172 3.228 3.904
```

The formation energy without anion corrections is 1.1060 eV per atom. For the total energy, the calculation gives -119.8 eV for the cell shown.

# 4
VASP calculation (GGA-PBE) on an optimized crystal structure of IrN.

```
12
Lattice="8.545 0.000 0.000 0.000 3.610 0.000 0.000 0.000 5.208" Properties=species:S:1:pos:R:3 pbc="T T T"
Ir 6.564 0.462 1.610
Ir 6.253 3.148 4.214
Ir 1.981 0.462 1.610
Ir 2.292 3.148 4.214
Ir 0.000 1.887 3.292
Ir 4.273 1.722 0.688
N 6.633 1.323 3.440
N 6.185 2.287 0.837
N 1.913 1.323 3.440
N 2.360 2.287 0.837
N 0.000 3.547 2.240
N 4.273 0.063 4.844
```

The formation energy without anion corrections is 0.8756 eV per atom. For the total energy, the calculation gives -92.6 eV for the cell shown.

# 5
VASP calculation (GGA-PBE) on an optimized crystal structure of IrN2.

```
12
Lattice="4.854 0.000 0.000 0.000 4.854 0.000 0.000 0.000 4.854" Properties=species:S:1:pos:R:3 pbc="T T T"
Ir 2.427 2.427 0.000
Ir 2.427 0.000 2.427
Ir 0.000 2.427 2.427
Ir 0.000 0.000 0.000
N 0.400 4.454 2.027
N 4.454 2.027 0.400
N 2.027 0.400 4.454
N 2.827 2.827 2.827
N 4.454 0.400 2.827
N 0.400 2.827 4.454
N 2.827 4.454 0.400
N 2.027 2.027 2.027
```

The formation energy without anion corrections is 0.5544 eV per atom. For the total energy, the calculation gives -95.4 eV for the cell shown.

# 6
VASP calculation (GGA-PBE) on an optimized crystal structure of IrN.

```
4
Lattice="-0.597 1.578 2.594 -0.588 -3.035 -0.135 5.537 -1.160 1.979" Properties=species:S:1:pos:R:3 pbc="T T T"
Ir 3.369 -2.327 2.190
Ir 0.598 -0.210 2.110
N 1.440 -1.923 1.501
N 4.206 -0.966 3.400
```

The formation energy without anion corrections is 0.8225 eV per atom. For the total energy, the calculation gives -31.1 eV for the cell shown.

# 7
VASP calculation (GGA-PBE) on an optimized crystal structure of IrN.

```
6
Lattice="-3.048 -0.091 -2.750 2.505 -1.790 -2.717 -1.139 -3.694 1.385" Properties=species:S:1:pos:R:3 pbc="T T T"
Ir -0.272 -0.941 -2.733
Ir -2.093 -1.893 -0.682
Ir 0.683 -2.742 -0.666
N -0.569 -1.847 0.692
N 1.252 -0.895 -1.358
N -1.524 -0.046 -1.375
```

The formation energy without anion corrections is 0.9077 eV per atom. For the total energy, the calculation gives -46.1 eV for the cell shown.

# 8
VASP calculation (GGA-PBE) on an optimized crystal structure of IrN2.

```
12
Lattice="-3.154 1.886 3.290 1.909 -2.853 3.466 3.688 2.460 2.126" Properties=species:S:1:pos:R:3 pbc="T T T"
Ir 2.545 0.529 5.837
Ir 3.318 1.253 2.466
Ir -0.101 0.965 3.045
Ir -0.875 0.240 6.417
N 3.448 -0.142 4.027
N 1.871 2.249 4.842
N -1.005 1.635 4.855
N 0.572 -0.755 4.040
N 0.775 -0.460 5.425
N 0.787 0.148 1.390
N 1.668 1.953 3.457
N 1.657 1.346 7.492
```

The formation energy without anion corrections is 0.4139 eV per atom. For the total energy, the calculation gives -97.1 eV for the cell shown.

# 9
VASP calculation (GGA-PBE) on an optimized crystal structure of NaIr3N.

```
5
Lattice="-3.274 2.954 -0.992 -3.116 -3.099 1.055 0.009 1.448 4.281" Properties=species:S:1:pos:R:3 pbc="T T T"
Na 0.000 0.000 0.000
Ir -1.558 -1.550 0.527
Ir 0.004 0.724 2.141
Ir -1.637 1.477 -0.496
N -3.190 0.651 2.172
```

The formation energy without anion corrections is 3.6918 eV per atom. For the total energy, the calculation gives -17.8 eV for the cell shown.

# 10
VASP calculation (GGA-PBE) on an optimized crystal structure of Na3IrN.

```
5
Lattice="-0.732 -0.202 5.444 -5.426 -0.458 -0.746 0.481 -5.474 -0.138" Properties=species:S:1:pos:R:3 pbc="T T T"
Na -2.713 -0.229 -0.373
Na 0.240 -2.737 -0.069
Na -0.366 -0.101 2.722
Ir 0.000 0.000 0.000
N -2.839 -3.066 2.280
```

The formation energy without anion corrections is 1.5274 eV per atom. For the total energy, the calculation gives -13.5 eV for the cell shown.

# 11
VASP calculation (GGA-PBE) on an optimized crystal structure of NaIrN2.

```
4
Lattice="-2.454 -5.193 3.116 -0.377 -6.445 1.014 0.679 -5.268 3.806" Properties=species:S:1:pos:R:3 pbc="T T T"
Na 0.000 0.000 0.000
Ir -1.076 -8.453 3.968
N -1.898 -14.908 6.998
N -0.254 -1.999 0.938
```

The formation energy without anion corrections is 0.6251 eV per atom. For the total energy, the calculation gives -24.3 eV for the cell shown.

# 12
VASP calculation (GGA-PBE) on an optimized crystal structure of NaIrN2.

```
4
Lattice="0.000 2.662 2.662 2.662 0.000 2.662 2.662 2.662 0.000" Properties=species:S:1:pos:R:3 pbc="T T T"
Na 0.000 0.000 0.000
Ir 2.662 2.662 2.662
N 1.331 1.331 1.331
N 3.993 3.993 3.993
```

The formation energy without anion corrections is 0.9928 eV per atom. For the total energy, the calculation gives -22.9 eV for the cell shown.

# 13
VASP calculation (GGA-PBE) on an optimized crystal structure of Na3IrN2.

```
24
Lattice="6.977 0.000 0.000 0.000 7.737 0.029 0.000 7.328 8.358" Properties=species:S:1:pos:R:3 pbc="T T T"
Na 0.066 13.556 7.916
Na 3.555 5.173 4.650
Na 6.911 1.509 0.471
Na 3.423 9.892 3.737
Na 3.374 13.255 8.039
Na 6.863 5.474 4.527
Na 3.603 1.810 0.348
Na 0.115 9.591 3.860
Na 1.866 8.148 6.355
Na 5.354 10.581 6.211
Na 5.111 6.917 2.032
Na 1.623 4.484 2.176
Ir 1.421 11.210 6.312
Ir 4.909 7.518 6.254
Ir 5.556 3.854 2.075
Ir 2.068 7.546 2.133
N 5.247 7.352 8.008
N 1.758 11.377 4.558
N 1.730 7.713 0.379
N 5.219 3.687 3.829
N 3.953 7.577 4.595
N 0.464 11.152 7.971
N 3.024 7.488 3.792
N 6.513 3.912 0.416
```

The formation energy without anion corrections is -0.0051 eV per atom. For the total energy, the calculation gives -118.0 eV for the cell shown.

# 14
VASP calculation (GGA-PBE) on an optimized crystal structure of Na3IrN.

```
5
Lattice="4.663 0.000 0.000 0.000 4.663 0.000 0.000 0.000 4.663" Properties=species:S:1:pos:R:3 pbc="T T T"
Na 0.000 2.331 0.000
Na 0.000 0.000 2.331
Na 2.331 0.000 0.000
Ir 2.331 2.331 2.331
N 0.000 0.000 0.000
```

The formation energy without anion corrections is 1.0050 eV per atom. For the total energy, the calculation gives -16.1 eV for the cell shown.

# 15
VASP calculation (GGA-PBE) on an optimized crystal structure of Na2IrN2.

```
5
Lattice="-1.544 2.054 6.232 1.544 -2.054 6.232 1.544 2.054 -6.232" Properties=species:S:1:pos:R:3 pbc="T T T"
Na 0.000 0.000 10.507
Na 0.000 0.000 1.957
Ir 0.000 0.000 6.232
N 0.000 0.000 4.439
N 0.000 0.000 8.025
```

The formation energy without anion corrections is 0.2663 eV per atom. For the total energy, the calculation gives -26.8 eV for the cell shown.

# 16
VASP calculation (GGA-PBE) on an optimized crystal structure of NaIrN2.

```
8
Lattice="5.105 0.000 0.000 0.000 5.105 0.000 2.552 2.552 4.634" Properties=species:S:1:pos:R:3 pbc="T T T"
Na 2.552 2.552 0.000
Na 2.552 5.105 2.317
Ir 0.000 0.000 0.000
Ir 5.105 2.552 2.317
N 4.273 1.276 1.158
N 0.832 3.829 1.158
N 3.829 3.384 3.475
N 6.381 6.825 3.475
```

The formation energy without anion corrections is 0.3383 eV per atom. For the total energy, the calculation gives -51.0 eV for the cell shown.

# 17
VASP calculation (GGA-PBE) on an optimized crystal structure of NaIr3N.

```
5
Lattice="4.120 0.000 0.000 0.000 4.120 0.000 0.000 0.000 4.120" Properties=species:S:1:pos:R:3 pbc="T T T"
Na 2.060 2.060 2.060
Ir 0.000 2.060 0.000
Ir 0.000 0.000 2.060
Ir 2.060 0.000 0.000
N 0.000 0.000 0.000
```

The formation energy without anion corrections is 0.5913 eV per atom. For the total energy, the calculation gives -33.3 eV for the cell shown.

# 18
VASP calculation (GGA-PBE) on an optimized crystal structure of Na4IrN2.

```
7
Lattice="4.559 0.000 1.016 2.167 4.012 1.016 0.795 0.474 7.173" Properties=species:S:1:pos:R:3 pbc="T T T"
Na 4.235 2.526 2.470
Na 5.810 3.465 6.143
Na 1.711 1.020 3.061
Na 3.285 1.960 6.735
Ir 0.000 0.000 0.000
N 6.328 3.774 3.819
N 1.193 0.712 5.385
```

The formation energy without anion corrections is 0.0319 eV per atom. For the total energy, the calculation gives -30.6 eV for the cell shown.

# 19
VASP calculation (GGA-PBE) on an optimized crystal structure of Na3IrN2.

```
12
Lattice="-2.372 0.628 5.063 -4.264 -2.613 -2.576 2.322 -5.540 1.775" Properties=species:S:1:pos:R:3 pbc="T T T"
Na -3.235 -5.644 3.196
Na -1.079 -1.881 1.066
Na -2.559 -4.450 0.510
Na -3.720 -1.681 -0.378
Na -1.756 -3.075 3.752
Na -2.917 -0.305 2.864
Ir -4.961 -3.043 2.520
Ir 0.647 -4.482 1.742
N -3.290 -2.543 1.894
N -1.025 -4.982 2.368
N 1.161 -2.770 0.888
N 0.000 0.000 0.000
```

The formation energy without anion corrections is 0.1090 eV per atom. For the total energy, the calculation gives -57.6 eV for the cell shown.

# 20
VASP calculation (GGA-PBE) on an optimized crystal structure of NaPa2IrN4.

```
8
Lattice="5.652 -0.002 -0.004 -2.723 4.952 0.004 -2.723 -1.730 4.640" Properties=species:S:1:pos:R:3 pbc="T T T"
Na 0.000 0.000 0.000
Pa 0.102 3.280 1.161
Pa 0.102 -0.061 3.479
Ir -2.723 1.611 2.322
N -1.662 -0.126 2.186
N 0.895 1.703 2.454
N -2.813 2.773 3.997
N -1.662 2.092 0.647
```

The formation energy without anion corrections is -0.5542 eV per atom. For the total energy, the calculation gives -66.9 eV for the cell shown.